Compound: La9Pm2Er
Source: Alexandria via LeMat-Bulk
Functional: PBE
Structure: optimized geometry

Lattice parameters (Å, degrees): 5.2213 5.2213 15.6770 90.00 90.00 90.00
Last column: nearest neighbours and their distance in Å.
Positions (direct):
1 La 0.5000 0.5000 0.0000  8 La 3.68, 4 Er 3.69
2 La 0.5000 0.5000 0.3326  4 Pm 3.69, 8 La 3.70
3 La 0.5000 0.5000 0.6674  4 Pm 3.69, 8 La 3.70
4 La 0.5000 0.0000 0.1650  8 La 3.68-3.70, 2 Er 3.68, 2 Pm 3.70
5 La 0.5000 0.0000 0.5000  8 La 3.69-3.70, 4 Pm 3.71
6 La 0.5000 0.0000 0.8350  8 La 3.68-3.70, 2 Er 3.68, 2 Pm 3.70
7 La 0.0000 0.5000 0.1650  2 Er 3.68, 8 La 3.68-3.70, 2 Pm 3.70
8 La 0.0000 0.5000 0.5000  8 La 3.69-3.70, 4 Pm 3.71
9 La 0.0000 0.5000 0.8350  2 Er 3.68, 8 La 3.68-3.70, 2 Pm 3.70
10 Pm 0.0000 0.0000 0.3320  12 La 3.69-3.71
11 Pm 0.0000 0.0000 0.6680  12 La 3.69-3.71
12 Er 0.0000 0.0000 0.0000  12 La 3.68-3.69

Calculated values
energy of formation from the pure elements = 0.01 eV/atom
spin magnetization = 0.00 μB/f.u.

Compound: Tb6PmDy2Y
Source: Alexandria via LeMat-Bulk
Functional: PBE
Structure: optimized geometry

Lattice parameters (Å, degrees): 9.6314 8.8144 8.8144 118.14 94.07 94.07
Last column: nearest neighbours and their distance in Å.
Positions (direct):
1 Tb 0.0557 0.1226 0.7506  7 Tb 3.39-3.76, 1 Dy 3.47, 1 Y 3.68
2 Tb 0.4443 0.2494 0.8774  7 Tb 3.39-3.76, 1 Dy 3.47, 1 Y 3.68
3 Tb 0.9443 0.8774 0.2494  7 Tb 3.39-3.76, 1 Dy 3.47, 1 Y 3.68
4 Tb 0.5557 0.7506 0.1226  7 Tb 3.39-3.76, 1 Dy 3.47, 1 Y 3.68
5 Tb 0.3161 0.9758 0.4278  3 Tb 3.22-3.60, 1 Dy 3.40, 1 Pm 3.50, 1 Y 3.58
6 Tb 0.1839 0.5722 0.0242  3 Tb 3.22-3.60, 1 Dy 3.40, 1 Pm 3.50, 1 Y 3.58
7 Tb 0.6839 0.0242 0.5722  3 Tb 3.22-3.60, 1 Dy 3.40, 1 Pm 3.50, 1 Y 3.58
8 Tb 0.8161 0.4278 0.9758  3 Tb 3.22-3.60, 1 Dy 3.40, 1 Pm 3.50, 1 Y 3.58
9 Tb 0.1210 0.7092 0.4985  4 Tb 3.22-3.58, 3 Dy 3.27-3.42, 2 Pm 3.42-3.57
10 Tb 0.3790 0.5015 0.2908  4 Tb 3.22-3.58, 3 Dy 3.27-3.42, 2 Pm 3.42-3.57
11 Tb 0.8790 0.2908 0.5015  4 Tb 3.22-3.58, 3 Dy 3.27-3.42, 2 Pm 3.42-3.57
12 Tb 0.6210 0.4985 0.7092  4 Tb 3.22-3.58, 3 Dy 3.27-3.42, 2 Pm 3.42-3.57
13 Pm 0.2500 0.4072 0.5928  6 Tb 3.42-3.57, 2 Dy 3.59
14 Pm 0.7500 0.5928 0.4072  6 Tb 3.42-3.57, 2 Dy 3.59
15 Dy 0.4568 0.8068 0.7004  6 Tb 3.27-3.61, 2 Y 3.38-3.39, 1 Pm 3.59
16 Dy 0.0432 0.2996 0.1931  6 Tb 3.27-3.61, 2 Y 3.38-3.39, 1 Pm 3.59
17 Dy 0.5432 0.1931 0.2996  6 Tb 3.27-3.61, 2 Y 3.38-3.39, 1 Pm 3.59
18 Dy 0.9568 0.7004 0.8068  6 Tb 3.27-3.61, 2 Y 3.38-3.39, 1 Pm 3.59
19 Y 0.2500 0.9768 0.0232  4 Dy 3.38-3.39, 4 Tb 3.58-3.68
20 Y 0.7500 0.0232 0.9768  4 Dy 3.38-3.39, 4 Tb 3.58-3.68

Calculated values
energy of formation from the pure elements = 0.12 eV/atom
spin magnetization = 0.00 μB/f.u.

Compound: Tb2Dy5Th4
Source: Alexandria via LeMat-Bulk
Functional: PBE
Structure: optimized geometry

Lattice parameters (Å, degrees): 3.5755 8.6874 11.8442 104.60 98.68 90.00
Last column: nearest neighbours and their distance in Å.
Positions (direct):
1 Tb 0.5890 0.7179 0.1781  5 Th 3.48-3.56, 2 Tb 3.58, 5 Dy 3.60-3.66
2 Tb 0.4110 0.2821 0.8219  5 Th 3.48-3.56, 2 Tb 3.58, 5 Dy 3.60-3.66
3 Dy 0.1369 0.0970 0.2738  3 Th 3.50-3.51, 7 Dy 3.56-3.64, 2 Tb 3.66
4 Dy 0.8631 0.9030 0.7262  3 Th 3.50-3.51, 7 Dy 3.56-3.64, 2 Tb 3.66
5 Dy 0.2271 0.8124 0.4542  3 Th 3.51-3.52, 7 Dy 3.56-3.64, 2 Tb 3.60
6 Dy 0.5000 0.0000 0.0000  4 Th 3.55, 6 Dy 3.58, 2 Tb 3.60
7 Dy 0.7729 0.1876 0.5458  3 Th 3.51-3.52, 7 Dy 3.56-3.64, 2 Tb 3.60
8 Th 0.6824 0.4530 0.3648  5 Dy 3.50-3.52, 6 Th 3.55-3.58, 1 Tb 3.55
9 Th 0.0466 0.3631 0.0933  4 Tb 3.48-3.56, 3 Dy 3.51-3.55, 5 Th 3.56-3.62
10 Th 0.3176 0.5470 0.6352  5 Dy 3.50-3.52, 6 Th 3.55-3.58, 1 Tb 3.55
11 Th 0.9534 0.6369 0.9067  4 Tb 3.48-3.56, 3 Dy 3.51-3.55, 5 Th 3.56-3.62

Calculated values
energy of formation from the pure elements = 0.03 eV/atom
spin magnetization = 0.00 μB/f.u.

Compound: KBiIO2
Source: Alexandria via LeMat-Bulk
Functional: PBE
Structure: optimized geometry

Lattice parameters (Å, degrees): 4.7761 4.7761 6.3437 90.00 90.00 90.00
Last column: nearest neighbours and their distance in Å.
Positions (direct):
1 I 0.0000 0.0000 0.5000  2 K 3.17, 4 Bi 3.38
2 K 0.0000 0.0000 0.0000  4 O 2.39
3 Bi 0.5000 0.5000 0.5000  4 I 3.38
4 O 0.0000 0.5000 0.0000  2 K 2.39
5 O 0.5000 0.0000 0.0000  2 K 2.39

Calculated values
energy above the most stable polymorph in this dataset = 1260 meV per atom
ΔE_f (raw) = 475 meV/atom
spin magnetization = 1.70 μB/f.u.

Compound: La3SnCl
Source: Alexandria via LeMat-Bulk
Functional: PBE
Structure: optimized geometry

Lattice parameters (Å, degrees): 4.4775 9.0925 15.2109 90.00 90.00 90.00
Last column: nearest neighbours and their distance in Å.
Positions (direct):
1 La 0.7500 0.1751 0.2830  1 Cl 2.84
2 La 0.2500 0.6561 0.9843  2 Cl 2.94
3 La 0.2500 0.0174 0.1113  3 Cl 2.88-2.95
4 La 0.2500 0.5174 0.3887  3 Cl 2.88-2.95
5 La 0.2500 0.1561 0.5157  2 Cl 2.94
6 La 0.7500 0.4826 0.6113  3 Cl 2.88-2.95
7 La 0.2500 0.3249 0.7830  1 Cl 2.84
8 La 0.7500 0.9826 0.8887  3 Cl 2.88-2.95
9 La 0.7500 0.3439 0.0157  2 Cl 2.94
10 La 0.7500 0.6751 0.2170  1 Cl 2.84
11 La 0.7500 0.8439 0.4843  2 Cl 2.94
12 La 0.2500 0.8249 0.7170  1 Cl 2.84
13 Sn 0.2500 0.9007 0.3238  9 La 3.35-3.73
14 Sn 0.7500 0.0993 0.6762  9 La 3.35-3.73
15 Sn 0.7500 0.5993 0.8238  9 La 3.35-3.73
16 Sn 0.2500 0.4007 0.1762  9 La 3.35-3.73
17 Cl 0.2500 0.6706 0.5544  6 La 2.84-2.95
18 Cl 0.7500 0.3294 0.4456  6 La 2.84-2.95
19 Cl 0.7500 0.8294 0.0544  6 La 2.84-2.95
20 Cl 0.2500 0.1706 0.9456  6 La 2.84-2.95

Calculated values
energy above the most stable polymorph in this dataset = 0 meV per atom
ΔE_f (raw) = -990 meV/atom
spin magnetization = 0.82 μB/f.u.

Compound: Pu2Cu3Ni
Source: Alexandria via LeMat-Bulk
Functional: PBE
Structure: optimized geometry

Lattice parameters (Å, degrees): 5.1339 5.1339 5.2273 90.06 119.43 119.92
Last column: nearest neighbours and their distance in Å.
Positions (direct):
1 Pu 0.7449 0.3724 0.1173  3 Ni 3.00-3.01, 9 Cu 3.04-3.05, 4 Pu 3.13-3.29
2 Pu 0.2551 0.6276 0.8827  3 Ni 3.00-3.01, 9 Cu 3.04-3.05, 4 Pu 3.13-3.29
3 Cu 0.5000 0.5000 0.5000  4 Cu 2.57, 2 Ni 2.61
4 Cu 0.0000 0.0000 0.5000  4 Cu 2.57, 2 Ni 2.61
5 Cu 0.5000 0.0000 0.5000  4 Cu 2.57, 2 Ni 2.61
6 Ni 0.0000 0.0000 0.0000  6 Cu 2.61

Calculated values
energy of formation from the pure elements = -0.07 eV/atom
spin magnetization = 11.99 μB/f.u.

Compound: Pm6CoGe
Source: Alexandria via LeMat-Bulk
Functional: PBE
Structure: optimized geometry

Lattice parameters (Å, degrees): 6.4249 6.4249 6.6218 98.00 98.00 110.54
Last column: nearest neighbours and their distance in Å.
Positions (direct):
1 Pm 0.2179 0.2179 0.6739  1 Co 2.60
2 Pm 0.5037 0.1513 0.2319  1 Co 2.67
3 Pm 0.7821 0.7821 0.3261  1 Co 2.60
4 Pm 0.8487 0.4963 0.7681  1 Co 2.67
5 Pm 0.4963 0.8487 0.7681  1 Co 2.67
6 Pm 0.1513 0.5037 0.2319  1 Co 2.67
7 Co 0.5000 0.5000 0.5000  6 Pm 2.60-2.67
8 Ge 0.0000 0.0000 0.0000  6 Pm 2.98-3.13

Calculated values
energy of formation from the pure elements = -0.08 eV/atom
spin magnetization = 0.00 μB/f.u.

Compound: Cr2NiPb
Source: Alexandria via LeMat-Bulk
Functional: PBE
Structure: optimized geometry

Lattice parameters (Å, degrees): 3.8333 3.8335 4.2869 90.00 90.00 90.00
Last column: nearest neighbours and their distance in Å.
Positions (direct):
1 Cr 0.0000 0.0000 0.0000  4 Cr 2.71, 4 Ni 2.88, 4 Pb 2.88
2 Cr 0.5000 0.5000 0.0000  4 Cr 2.71, 4 Pb 2.88, 4 Ni 2.88
3 Ni 0.5000 0.0000 0.5000  4 Pb 2.71, 8 Cr 2.88
4 Pb 0.0000 0.5000 0.5000  4 Ni 2.71, 8 Cr 2.88

Calculated values
energy of formation from the pure elements = 0.38 eV/atom
spin magnetization = 0.00 μB/f.u.

Compound: Hf2TiN
Source: Alexandria via LeMat-Bulk
Functional: PBE
Structure: optimized geometry

Lattice parameters (Å, degrees): 4.1217 6.5388 5.5321 107.21 111.87 90.00
Last column: nearest neighbours and their distance in Å.
Positions (direct):
1 Hf 0.1556 0.5779 0.3111  2 N 2.23
2 Hf 0.8444 0.4221 0.6889  2 N 2.23
3 Hf 0.1556 0.0779 0.3111  2 N 2.23
4 Hf 0.8444 0.9221 0.6889  2 N 2.23
5 Ti 0.5000 0.2500 0.0000  2 N 2.06
6 Ti 0.5000 0.7500 0.0000  2 N 2.06
7 N 0.0000 0.7500 0.0000  2 Ti 2.06, 4 Hf 2.23
8 N 0.0000 0.2500 0.0000  2 Ti 2.06, 4 Hf 2.23

Calculated values
ΔE_f (raw) = -940 meV/atom
spin magnetization = 0.00 μB/f.u.

Compound: Li3Pr2Cu12Ni
Source: Alexandria via LeMat-Bulk
Functional: PBE
Structure: optimized geometry

Lattice parameters (Å, degrees): 10.4688 10.4688 10.4688 32.05 32.05 32.05
Last column: nearest neighbours and their distance in Å.
Positions (direct):
1 Li 0.5000 0.0000 0.0000  4 Cu 2.38
2 Li 0.0000 0.5000 0.0000  4 Cu 2.38
3 Li 0.0000 0.0000 0.5000  4 Cu 2.38
4 Pr 0.6448 0.6448 0.6448  12 Cu 3.11-3.21, 3 Ni 3.40
5 Pr 0.3552 0.3552 0.3552  12 Cu 3.11-3.21, 3 Ni 3.40
6 Cu 0.4132 0.4132 0.8275  2 Li 2.38, 4 Cu 2.39-2.41
7 Cu 0.9193 0.9193 0.3595  4 Cu 2.41-2.54, 1 Ni 2.45
8 Cu 0.3595 0.9193 0.9193  4 Cu 2.41-2.54, 1 Ni 2.45
9 Cu 0.8275 0.4132 0.4132  2 Li 2.38, 4 Cu 2.39-2.41
10 Cu 0.9193 0.3595 0.9193  4 Cu 2.41-2.54, 1 Ni 2.45
11 Cu 0.4132 0.8275 0.4132  2 Li 2.38, 4 Cu 2.39-2.41
12 Cu 0.5868 0.5868 0.1725  2 Li 2.38, 4 Cu 2.39-2.41
13 Cu 0.0807 0.0807 0.6405  4 Cu 2.41-2.54, 1 Ni 2.45
14 Cu 0.6405 0.0807 0.0807  4 Cu 2.41-2.54, 1 Ni 2.45
15 Cu 0.1725 0.5868 0.5868  2 Li 2.38, 4 Cu 2.39-2.41
16 Cu 0.0807 0.6405 0.0807  4 Cu 2.41-2.54, 1 Ni 2.45
17 Cu 0.5868 0.1725 0.5868  2 Li 2.38, 4 Cu 2.39-2.41
18 Ni 0.0000 0.0000 0.0000  6 Cu 2.45

Calculated values
energy of formation from the pure elements = 0.13 eV/atom
spin magnetization = 0.00 μB/f.u.

Compound: ZrSb2Br
Source: Alexandria via LeMat-Bulk
Functional: PBE
Structure: optimized geometry

Lattice parameters (Å, degrees): 5.6565 5.6565 8.0047 79.39 79.39 33.75
Last column: nearest neighbours and their distance in Å.
Positions (direct):
1 Sb 0.9695 0.9695 0.9162  1 Sb 2.82, 2 Zr 3.10
2 Sb 0.8166 0.8166 0.6677  1 Sb 2.82, 3 Zr 3.01-3.04
3 Br 0.1599 0.1599 0.3314  2 Zr 2.69
4 Zr 0.5539 0.5539 0.5848  2 Br 2.69

Calculated values
energy above the most stable polymorph in this dataset = 0 meV per atom
ΔE_f (raw) = -515 meV/atom
spin magnetization = 0.00 μB/f.u.

Compound: Ca2MgCdPb
Source: Alexandria via LeMat-Bulk
Functional: PBE
Structure: optimized geometry

Lattice parameters (Å, degrees): 5.8716 5.0898 5.8716 90.00 90.00 90.00
Last column: nearest neighbours and their distance in Å.
Positions (direct):
1 Pb 0.5000 0.5000 0.5000  8 Ca 3.89, 4 Cd 4.15
2 Ca 0.0000 0.0000 0.5000  2 Mg 2.94
3 Ca 0.5000 0.0000 0.0000  2 Mg 2.94
4 Mg 0.0000 0.0000 0.0000  2 Cd 2.54
5 Cd 0.0000 0.5000 0.0000  2 Mg 2.54

Calculated values
energy of formation from the pure elements = 0.21 eV/atom
spin magnetization = 0.00 μB/f.u.